(1)
# InTeS3

Crystalline InTeS3 at its relaxed geometry (PBE, the Alexandria database).

E_form (uncorrected) = -0.86 eV per formula unit
DOS at the Fermi energy = 0.9 states/eV/f.u.
Symmetry = P2_1/m, No. 11
Mass density = 3.7 Mg/m³

Unit cell a=4.309 b=6.488 c=12.401 alpha=119.03 beta=90.00 gamma=90.00
Atoms (fractional coordinates):
S  0.750  0.737  0.393
S  0.250  0.961  0.868
S  0.750  0.464  0.877
S  0.250  0.263  0.607
S  0.250  0.536  0.123
S  0.750  0.039  0.132
Te  0.750  0.136  0.659
Te  0.250  0.864  0.341
In  0.250  0.792  0.015
In  0.750  0.208  0.985

=====

(2)
# Pm2In3Te6Pb

Crystalline Pm2In3Te6Pb at its relaxed geometry (PBE, the Alexandria database).

E_form (uncorrected) = -9.07 eV per formula unit
DOS at the Fermi energy = 4.7 states/eV/f.u.
Symmetry = C2/m, No. 12
Mass density = 6.4 Mg/m³

Unit cell a=4.488 b=9.428 c=10.444 alpha=105.19 beta=102.41 gamma=90.00
Atoms (fractional coordinates):
Te  0.008  0.260  0.015
Te  0.331  0.429  0.662
Te  0.669  0.571  0.338
Te  0.667  0.098  0.334
Te  0.333  0.902  0.666
Te  0.992  0.740  0.985
Pb  0.500  0.000  0.000
Pm  0.168  0.332  0.336
Pm  0.832  0.668  0.664
In  0.166  0.834  0.331
In  0.834  0.166  0.669
In  0.500  0.500  0.000

=====

(3)
# Be2Nb2Cu

Crystalline Be2Nb2Cu at its relaxed geometry (PBE, the Alexandria database).

DOS at the Fermi energy = 2.7 states/eV/f.u.
Symmetry = P4/mbm, No. 127
Energy relative to the elements = -0.1102 eV per atom
Mass density = 6.8 Mg/m³

Unit cell a=5.993 b=5.993 c=3.625 alpha=90.00 beta=90.00 gamma=90.00
Atoms (fractional coordinates):
Be  0.129  0.371  0.000
Be  0.871  0.629  0.000
Be  0.629  0.129  0.000
Be  0.371  0.871  0.000
Cu  0.500  0.500  0.000
Cu  0.000  0.000  0.000
Nb  0.330  0.170  0.500
Nb  0.670  0.830  0.500
Nb  0.830  0.330  0.500
Nb  0.170  0.670  0.500

=====

(4)
# Al3Zn5

Crystalline Al3Zn5 at its relaxed geometry (PBE, the Alexandria database).

DOS at the Fermi energy = 2.2 states/eV/f.u.
Symmetry = P-1, No. 2
Energy relative to the elements = 0.0608 eV per atom
Mass density = 5.2 Mg/m³

Unit cell a=8.947 b=9.449 c=7.346 alpha=100.34 beta=92.19 gamma=151.68
Atoms (fractional coordinates):
Al  0.239  0.099  0.537
Al  0.140  0.181  0.892
Al  0.835  0.319  0.146
Al  0.760  0.901  0.463
Al  0.164  0.682  0.854
Al  0.859  0.819  0.108
Zn  0.270  0.924  0.224
Zn  0.427  0.557  0.691
Zn  0.904  0.711  0.734
Zn  0.572  0.443  0.309
Zn  0.599  0.325  0.924
Zn  0.401  0.675  0.076
Zn  0.214  0.789  0.530
Zn  0.729  0.076  0.776
Zn  0.095  0.289  0.266
Zn  0.785  0.211  0.471

=====

(5)
# BiMoAs2Br

Crystalline BiMoAs2Br at its relaxed geometry (PBE, the Alexandria database).

E_form (uncorrected) = 2.07 eV per formula unit
DOS at the Fermi energy = 4.4 states/eV/f.u.
Symmetry = P4/mmm, No. 123
Mass density = 7.0 Mg/m³

Unit cell a=4.914 b=4.914 c=5.263 alpha=90.00 beta=90.00 gamma=90.00
Each line ends with the local moment (μB).
Atoms (fractional coordinates):
Br  0.000  0.000  0.500  0.04
Bi  0.500  0.500  0.500  0.45
As  0.500  0.000  0.000  -0.07
As  0.000  0.500  0.000  -0.07
Mo  0.000  0.000  0.000  0.79

=====

(6)
# Be6TlAs4

Crystalline Be6TlAs4 at its relaxed geometry (PBE, the Alexandria database).

DOS at the Fermi energy = 2.1 states/eV/f.u.
Symmetry = Fmmm, No. 69
Energy relative to the elements = 0.0339 eV per atom
Mass density = 5.1 Mg/m³

Unit cell a=3.721 b=3.721 c=13.413 alpha=97.09 beta=97.09 gamma=96.34
Atoms (fractional coordinates):
As  0.804  0.804  0.608
As  0.587  0.587  0.173
As  0.413  0.413  0.827
As  0.196  0.196  0.392
Be  0.866  0.366  0.733
Be  0.366  0.866  0.733
Be  0.634  0.134  0.267
Be  0.134  0.634  0.267
Be  0.750  0.250  0.500
Be  0.250  0.750  0.500
Tl  0.000  0.000  0.000